Material: Si2PtPb
Method: DFT, PBE
State: optimized geometry

Computed properties:
As for the uncorrected formation energy: 0.31 eV/atom. As for the crystal system: orthorhombic.

Lattice parameters (Å, degrees): 5.4669 5.9182 9.5679 90.00 90.00 90.00
With the nearest neighbours (Å) after each atom.
Sites, in units of the cell vectors:
Si 0.0000 0.2500 0.2500  4 Si 2.73-2.96, 2 Pt 2.81, 2 Pb 2.81
Si 0.0000 0.2500 0.7500  4 Si 2.73-2.96, 2 Pt 2.81, 2 Pb 2.81
Si 0.0000 0.7500 0.2500  4 Si 2.73-2.96, 2 Pt 2.81, 2 Pb 2.81
Si 0.0000 0.7500 0.7500  4 Si 2.73-2.96, 2 Pt 2.81, 2 Pb 2.81
Si 0.5000 0.2500 0.2500  4 Si 2.73-2.96, 2 Pt 2.81, 2 Pb 2.81
Si 0.5000 0.2500 0.7500  4 Si 2.73-2.96, 2 Pt 2.81, 2 Pb 2.81
Si 0.5000 0.7500 0.2500  4 Si 2.73-2.96, 2 Pt 2.81, 2 Pb 2.81
Si 0.5000 0.7500 0.7500  4 Si 2.73-2.96, 2 Pb 2.81, 2 Pt 2.81
Pt 0.0000 0.0000 0.0000  4 Pb 2.73-2.96, 4 Si 2.81
Pt 0.0000 0.5000 0.5000  4 Pb 2.73-2.96, 4 Si 2.81
Pt 0.5000 0.0000 0.5000  4 Pb 2.73-2.96, 4 Si 2.81
Pt 0.5000 0.5000 0.0000  4 Pb 2.73-2.96, 4 Si 2.81
Pb 0.0000 0.0000 0.5000  4 Pt 2.73-2.96, 4 Si 2.81
Pb 0.0000 0.5000 0.0000  4 Pt 2.73-2.96, 4 Si 2.81
Pb 0.5000 0.0000 0.0000  4 Pt 2.73-2.96, 4 Si 2.81
Pb 0.5000 0.5000 0.5000  4 Pt 2.73-2.96, 4 Si 2.81

***

Material: K5SnS4
Method: DFT, PBE
State: optimized geometry

Computed properties:
As for the uncorrected formation energy: -0.96 eV/atom. As for the crystal system: orthorhombic.

Lattice parameters (Å, degrees): 9.6578 10.0013 7.4902 90.00 90.00 90.00
With the nearest neighbours (Å) after each atom.
Sites, in units of the cell vectors:
K 0.0079 0.0523 0.2412  4 S 3.15-3.23
K 0.0079 0.4477 0.2412  4 S 3.15-3.23
K 0.2500 0.7500 0.3261  4 S 3.16-3.18
K 0.4921 0.0523 0.2412  4 S 3.15-3.23
K 0.4921 0.4477 0.2412  4 S 3.15-3.23
K 0.5079 0.5523 0.7588  4 S 3.15-3.23
K 0.5079 0.9477 0.7588  4 S 3.15-3.23
K 0.7500 0.2500 0.6739  4 S 3.16-3.18
K 0.9921 0.5523 0.7588  4 S 3.15-3.23
K 0.9921 0.9477 0.7588  4 S 3.15-3.23
Sn 0.2500 0.2500 0.7169  4 S 2.60-2.62
Sn 0.7500 0.7500 0.2831  4 S 2.60-2.62
S 0.0233 0.2500 0.9051  1 Sn 2.60
S 0.2500 0.0301 0.5269  1 Sn 2.62
S 0.2500 0.4699 0.5269  1 Sn 2.62
S 0.4767 0.2500 0.9051  1 Sn 2.60
S 0.5233 0.7500 0.0949  1 Sn 2.60
S 0.7500 0.5301 0.4731  1 Sn 2.62
S 0.7500 0.9699 0.4731  1 Sn 2.62
S 0.9767 0.7500 0.0949  1 Sn 2.60

***

Material: Ni4P2Pt
Method: DFT, PBE
State: optimized geometry

Computed properties:
As for the crystal system: orthorhombic. Its formation energy from the elements is -0.41 eV per atom.

Lattice parameters (Å, degrees): 14.9515 3.5573 6.2760 90.00 90.00 90.00
With the nearest neighbours (Å) after each atom.
Sites, in units of the cell vectors:
Ni 0.0322 0.2500 0.1388  3 P 2.22-2.42, 1 Ni 2.48
Ni 0.0685 0.7500 0.4885  4 P 2.27-2.47
Ni 0.1838 0.2500 0.6433  4 P 2.20-2.30
Ni 0.1927 0.2500 0.2399  3 P 2.24, 1 Ni 2.48
Ni 0.3073 0.7500 0.7399  3 P 2.24, 1 Ni 2.48
Ni 0.3162 0.7500 0.1433  4 P 2.20-2.30
Ni 0.4315 0.2500 0.9885  4 P 2.27-2.47
Ni 0.4678 0.7500 0.6388  3 P 2.22-2.42, 1 Ni 2.48
Ni 0.5322 0.2500 0.3612  3 P 2.22-2.42, 1 Ni 2.48
Ni 0.5685 0.7500 0.0115  4 P 2.27-2.47
Ni 0.6838 0.2500 0.8567  4 P 2.20-2.30
Ni 0.6927 0.2500 0.2601  3 P 2.24, 1 Ni 2.48
Ni 0.8073 0.7500 0.7601  3 P 2.24, 1 Ni 2.48
Ni 0.8162 0.7500 0.3567  4 P 2.20-2.30
Ni 0.9315 0.2500 0.5115  4 P 2.27-2.47
Ni 0.9678 0.7500 0.8612  3 P 2.22-2.42, 1 Ni 2.48
P 0.0440 0.2500 0.7545  7 Ni 2.20-2.47
P 0.2259 0.7500 0.4407  7 Ni 2.24-2.37
P 0.2741 0.2500 0.9407  7 Ni 2.24-2.37
P 0.4560 0.7500 0.2545  7 Ni 2.20-2.47
P 0.5440 0.2500 0.7455  7 Ni 2.20-2.47
P 0.7259 0.7500 0.0593  7 Ni 2.24-2.37
P 0.7741 0.2500 0.5593  7 Ni 2.24-2.37
P 0.9560 0.7500 0.2455  7 Ni 2.20-2.47
Pt 0.1427 0.7500 0.9480  4 P 2.61-2.65, 9 Ni 2.66-2.87
Pt 0.3573 0.2500 0.4480  4 P 2.61-2.65, 9 Ni 2.66-2.87
Pt 0.6427 0.7500 0.5520  4 P 2.61-2.65, 9 Ni 2.66-2.87
Pt 0.8573 0.2500 0.0520  4 P 2.61-2.65, 9 Ni 2.66-2.87

***

Material: V3MoW4
Method: DFT, PBE
State: optimized geometry

Computed properties:
As for the crystal system: orthorhombic. Its formation energy from the elements is 0.15 eV per atom.

Lattice parameters (Å, degrees): 8.9233 5.2631 5.2596 90.00 90.00 90.00
With the nearest neighbours (Å) after each atom.
Sites, in units of the cell vectors:
V 0.0000 0.2200 0.0000  2 Mo 2.59-2.67, 4 W 2.63-2.71, 2 V 2.77
V 0.2494 0.4174 0.2425  4 W 2.63-2.77, 1 Mo 2.69, 3 V 2.77
V 0.2506 0.5826 0.7425  4 W 2.63-2.77, 1 Mo 2.69, 3 V 2.77
V 0.5000 0.7800 0.5000  2 Mo 2.59-2.67, 4 W 2.63-2.71, 2 V 2.77
V 0.7494 0.5826 0.7425  4 W 2.63-2.77, 1 Mo 2.69, 3 V 2.77
V 0.7506 0.4174 0.2425  4 W 2.63-2.77, 1 Mo 2.69, 3 V 2.77
Mo 0.0000 0.7128 0.9943  4 V 2.59-2.69, 4 W 2.64-2.80
Mo 0.5000 0.2872 0.4943  4 V 2.59-2.69, 4 W 2.64-2.80
W 0.0000 0.2782 0.4971  4 W 2.60-2.76, 4 V 2.63-2.70
W 0.0000 0.7720 0.4961  4 W 2.60-2.72, 2 Mo 2.64-2.66, 2 V 2.77
W 0.2494 0.0820 0.7389  3 V 2.63-2.71, 4 W 2.72-2.77, 1 Mo 2.80
W 0.2506 0.9180 0.2389  3 V 2.63-2.71, 4 W 2.72-2.77, 1 Mo 2.80
W 0.5000 0.2280 0.9961  4 W 2.60-2.72, 2 Mo 2.64-2.66, 2 V 2.77
W 0.5000 0.7218 0.9971  4 W 2.60-2.76, 4 V 2.63-2.70
W 0.7494 0.9180 0.2389  3 V 2.63-2.71, 4 W 2.72-2.77, 1 Mo 2.80
W 0.7506 0.0820 0.7389  3 V 2.63-2.71, 4 W 2.72-2.77, 1 Mo 2.80

***

Material: NaMgGa2Ge2
Method: DFT, PBE
State: optimized geometry

Computed properties:
As for the crystal system: trigonal. Its formation energy from the elements is -0.06 eV per atom.

Lattice parameters (Å, degrees): 4.1930 4.1930 8.7547 90.00 90.00 120.00
With the nearest neighbours (Å) after each atom.
Sites, in units of the cell vectors:
Na 0.0000 0.0000 0.0000  6 Ga 3.17
Mg 0.0000 0.0000 0.5000  6 Ge 2.95
Ga 0.3333 0.6667 0.7665  3 Ge 2.50
Ga 0.6667 0.3333 0.2335  3 Ge 2.50
Ge 0.3333 0.6667 0.3070  3 Ga 2.50
Ge 0.6667 0.3333 0.6930  3 Ga 2.50

***

Material: CaAc3Bi4
Method: DFT, PBE
State: optimized geometry

Computed properties:
As for the crystal system: cubic. Its formation energy from the elements is -0.88 eV per atom.

Lattice parameters (Å, degrees): 6.8403 6.8403 6.8403 90.00 90.00 90.00
With the nearest neighbours (Å) after each atom.
Sites, in units of the cell vectors:
Ca 0.0000 0.0000 0.0000  6 Bi 3.42
Ac 0.0000 0.5000 0.5000  6 Bi 3.42
Ac 0.5000 0.0000 0.5000  6 Bi 3.42
Ac 0.5000 0.5000 0.0000  6 Bi 3.42
Bi 0.0000 0.0000 0.5000  4 Ac 3.42, 2 Ca 3.42
Bi 0.0000 0.5000 0.0000  4 Ac 3.42, 2 Ca 3.42
Bi 0.5000 0.0000 0.0000  4 Ac 3.42, 2 Ca 3.42
Bi 0.5000 0.5000 0.5000  6 Ac 3.42

***

Material: Mg2VFe
Method: DFT, PBE
State: optimized geometry

Computed properties:
As for the crystal system: tetragonal. Its formation energy from the elements is 0.82 eV per atom.

Lattice parameters (Å, degrees): 7.2067 7.2067 5.2213 90.00 90.00 90.00
With the nearest neighbours (Å) after each atom.
Sites, in units of the cell vectors:
Mg 0.2273 0.7500 0.1250  2 Fe 2.52, 2 Mg 2.63, 2 V 2.74
Mg 0.2500 0.2273 0.8750  2 Fe 2.52, 2 Mg 2.63, 2 V 2.74
Mg 0.2500 0.2727 0.3750  2 Fe 2.52, 2 Mg 2.63, 2 V 2.74
Mg 0.2727 0.7500 0.6250  2 Fe 2.52, 2 Mg 2.63, 2 V 2.74
Mg 0.7273 0.2500 0.6250  2 Fe 2.52, 2 Mg 2.63, 2 V 2.74
Mg 0.7500 0.7273 0.3750  2 Fe 2.52, 2 Mg 2.63, 2 V 2.74
Mg 0.7500 0.7727 0.8750  2 Fe 2.52, 2 Mg 2.63, 2 V 2.74
Mg 0.7727 0.2500 0.1250  2 Fe 2.52, 2 Mg 2.63, 2 V 2.74
V 0.0000 0.0000 0.5000  2 Fe 2.61, 4 Mg 2.74
V 0.0000 0.5000 0.7500  2 Fe 2.61, 4 Mg 2.74
V 0.5000 0.0000 0.2500  2 Fe 2.61, 4 Mg 2.74
V 0.5000 0.5000 0.0000  2 Fe 2.61, 4 Mg 2.74
Fe 0.0000 0.0000 0.0000  4 Mg 2.52, 2 V 2.61
Fe 0.0000 0.5000 0.2500  4 Mg 2.52, 2 V 2.61
Fe 0.5000 0.0000 0.7500  4 Mg 2.52, 2 V 2.61
Fe 0.5000 0.5000 0.5000  4 Mg 2.52, 2 V 2.61

***

Material: CsSr2ReO6
Method: DFT, PBE
State: optimized geometry

Computed properties:
As for the uncorrected formation energy: -2.18 eV/atom. As for the crystal system: trigonal.

Lattice parameters (Å, degrees): 6.6129 6.6129 6.6129 55.37 55.37 55.37
With the nearest neighbours (Å) after each atom.
Sites, in units of the cell vectors:
Cs 0.0000 0.0000 0.0000  3 O 2.81
Sr 0.2484 0.2484 0.2484  6 O 2.53-2.56
Sr 0.7702 0.7702 0.7702  6 O 2.40-2.66
Re 0.4441 0.4441 0.4441  6 O 1.89-1.94
O 0.0970 0.5639 0.4496  1 Re 1.94
O 0.2564 0.4768 0.7776  1 Re 1.89
O 0.4496 0.0970 0.5639  1 Re 1.94
O 0.4768 0.7776 0.2564  1 Re 1.89
O 0.5639 0.4496 0.0970  1 Re 1.94
O 0.7776 0.2564 0.4768  1 Re 1.89

***

Material: Cr3C
Method: DFT, PBE
State: optimized geometry

Computed properties:
As for the crystal system: hexagonal. Its formation energy from the elements is 0.60 eV per atom.

Lattice parameters (Å, degrees): 4.7264 4.7264 8.0599 90.00 90.00 120.00
With the nearest neighbours (Å) after each atom.
Sites, in units of the cell vectors:
Cr 0.0000 0.5000 0.0000  8 Cr 2.36-2.44, 4 C 2.36-2.43
Cr 0.0000 0.5000 0.5000  8 Cr 2.36-2.44, 4 C 2.36-2.43
Cr 0.1619 0.3238 0.2500  8 Cr 2.30-2.44, 4 C 2.36-2.41
Cr 0.1619 0.8381 0.2500  8 Cr 2.30-2.44, 4 C 2.36-2.41
Cr 0.3238 0.1619 0.7500  8 Cr 2.30-2.44, 4 C 2.36-2.41
Cr 0.5000 0.0000 0.0000  8 Cr 2.36-2.44, 4 C 2.36-2.43
Cr 0.5000 0.0000 0.5000  8 Cr 2.36-2.44, 4 C 2.36-2.43
Cr 0.5000 0.5000 0.0000  8 Cr 2.36-2.44, 4 C 2.36-2.43
Cr 0.5000 0.5000 0.5000  8 Cr 2.36-2.44, 4 C 2.36-2.43
Cr 0.6762 0.8381 0.2500  8 Cr 2.30-2.44, 4 C 2.36-2.41
Cr 0.8381 0.1619 0.7500  8 Cr 2.30-2.44, 4 C 2.36-2.41
Cr 0.8381 0.6762 0.7500  8 Cr 2.30-2.44, 4 C 2.36-2.41
C 0.0000 0.0000 0.0000  12 Cr 2.36-2.41
C 0.0000 0.0000 0.5000  12 Cr 2.36-2.41
C 0.3333 0.6667 0.7500  12 Cr 2.36-2.43
C 0.6667 0.3333 0.2500  12 Cr 2.36-2.43